Density functional theory data (PBE-GGA) for an optimized crystal structure of Sc2TaNiW.

Cell: 4.535 4.535 4.822 Å, 90.00 90.00 90.00°
Space group P4/mmm (No. 123)
Symmetry-distinct sites (fractional):
Sc: 0.000 0.500 0.000 x2
Ta: 0.000 0.000 0.500 x1
Ni: 0.000 0.000 0.000 x1
W: 0.500 0.500 0.500 x1

Computed properties:
energy relative to the elements	0.732	eV/atom
density	8.60	Mg/m³
raw total energy	-7.918	eV per atom